Record 1
Material: ScNiB2
Method: DFT, PBE
State: optimized geometry

Lattice parameters (Å, degrees): 3.377 5.571 8.875 90.00 90.00 90.00
Positions (direct):
Sc 0.750 0.369 0.366
Sc 0.250 0.631 0.634
Sc 0.750 0.869 0.134
Sc 0.250 0.131 0.866
Ni 0.750 0.376 0.064
Ni 0.250 0.624 0.936
Ni 0.750 0.876 0.436
Ni 0.250 0.124 0.564
B 0.250 0.030 0.328
B 0.750 0.970 0.672
B 0.250 0.530 0.172
B 0.750 0.470 0.828
B 0.250 0.217 0.167
B 0.750 0.783 0.833
B 0.250 0.717 0.333
B 0.750 0.283 0.667

Results
Polymorph energy (0 for the lowest one) ... 0.00 kcal/mol of atoms
Energy of formation from the pure elements ... -0.65 eV per atom
SG ... Pnma


Record 2
Material: Sc3SiNi9B2
Method: DFT, PBE
State: optimized geometry

Lattice parameters (Å, degrees): 5.224 5.224 8.182 90.00 90.00 120.00
Positions (direct):
Sc 0.333 0.667 0.612
Sc 0.000 0.000 0.000
Sc 0.667 0.333 0.388
Si 0.000 0.000 0.500
Ni 0.837 0.163 0.716
Ni 0.837 0.674 0.716
Ni 0.326 0.163 0.716
Ni 0.674 0.837 0.284
Ni 0.163 0.326 0.284
Ni 0.163 0.837 0.284
Ni 0.500 0.000 0.000
Ni 0.000 0.500 0.000
Ni 0.500 0.500 0.000
B 0.333 0.667 0.148
B 0.667 0.333 0.852

Results
E_form (uncorrected) ... -0.46 eV/atom
SG ... P-3m1


Record 3
Material: Sc2TlNiB
Method: DFT, PBE
State: optimized geometry

Lattice parameters (Å, degrees): 4.738 4.738 3.903 90.00 90.00 90.00
Positions (direct):
Sc 0.000 0.500 0.000
Sc 0.500 0.000 0.000
Ni 0.000 0.000 0.500
Tl 0.500 0.500 0.500
B 0.000 0.000 0.000

Results
Energy of formation from the pure elements ... -0.28 eV per atom
SG ... P4/mmm


Record 4
Material: NiBSe3
Method: DFT, PBE
State: optimized geometry

Lattice parameters (Å, degrees): 4.696 4.696 4.696 90.00 90.00 90.00
Positions (direct):
Ni 0.000 0.000 0.000
B 0.500 0.500 0.500
Se 0.000 0.500 0.000
Se 0.000 0.000 0.500
Se 0.500 0.000 0.000

Results
Polymorph energy (0 for the lowest one) ... 4.94 kcal/mol of atoms
E_form (uncorrected) ... 1.15 eV/atom
SG ... Pm-3m